[1]
VASP calculation (PBE) on BaNaInBi2 after structural relaxation.

Computed properties:
E_form in eV per formula unit: -2.5
Total DFT energy (no corrections) in eV for the cell shown: -16.28
SG: I-4m2 (119)
DOS(E_F) in states/eV/f.u.: 0.54
Calculated volume in Å³/cell: 176.2
Magnetic moment in μB per cell: 0.0

```
BaNaInBi2
1.0
4.920 0.000 0.000
0.000 4.920 0.000
-2.460 -2.460 7.281
Na Ba In Bi
1 1 1 2
Direct
0.750 0.250 0.500
0.000 0.000 0.000
0.250 0.750 0.500
0.614 0.614 0.228
0.386 0.386 0.772
```

***

[2]
VASP calculation (PBE) on Mg14MnSi after structural relaxation.

Computed properties:
Total DFT energy (no corrections) in eV for the cell shown: -35.88
Formation energy without anion corrections in meV per atom: 65
SG: P-6m2 (187)
DOS(E_F) in states/eV/f.u.: 6.67
Calculated volume in Å³/cell: 339.9
Polymorph energy (0 for the lowest one) in meV/atom: 2.1
Magnetic moment in μB per cell: 3.2

```
Mg14MnSi
1.0
-1.560 4.331 -4.285
0.724 -6.006 -1.719
-9.614 -1.676 1.807
Mg Si Mn
14 1 1
Direct
0.998 0.499 0.500
0.501 0.002 0.500
0.161 0.322 0.749
0.678 0.839 0.749
0.499 0.501 0.000
0.667 0.333 0.751
0.678 0.839 0.251
0.161 0.839 0.749
0.161 0.322 0.251
0.667 0.333 0.249
0.499 0.997 0.000
0.161 0.839 0.251
0.003 0.501 0.000
0.501 0.499 0.500
0.000 0.000 0.500
0.000 0.000 0.000
```

***

[3]
VASP calculation (PBE) on Tl2IrSe after structural relaxation.

Computed properties:
Total DFT energy (no corrections) in eV for the cell shown: -16.41
Formation energy without anion corrections in meV per atom: 167
SG: Pmm2 (25)
DOS(E_F) in states/eV/f.u.: 2.45
Calculated volume in Å³/cell: 98.6
Polymorph energy (0 for the lowest one) in meV/atom: 106.1
Magnetic moment in μB per cell: 0.0

```
Tl2IrSe
1.0
-1.280 3.038 -0.511
-2.613 -0.750 2.086
4.494 3.022 6.716
Tl Se Ir
2 1 1
Direct
0.500 0.500 0.301
0.000 0.000 0.963
0.500 0.500 0.667
0.000 0.000 0.569
```

***

[4]
VASP calculation (PBE) on TlPdC2 after structural relaxation.

Computed properties:
E_form in eV per formula unit: 8.7
Total DFT energy (no corrections) in eV for the cell shown: -17.26
SG: Fm-3m (225)
DOS(E_F) in states/eV/f.u.: 1.91
Calculated volume in Å³/cell: 52.5
Polymorph energy (0 for the lowest one) in meV/atom: 535.8
Magnetic moment in μB per cell: 0.0

```
TlPdC2
1.0
0.000 2.972 2.972
2.972 0.000 2.972
2.972 2.972 0.000
Tl C Pd
1 2 1
Direct
0.500 0.500 0.500
0.250 0.250 0.250
0.750 0.750 0.750
0.000 0.000 0.000
```

***

[5]
VASP calculation (PBE) on SmTh6Sc8 after structural relaxation.

Computed properties:
E_form in eV per formula unit: 2.9
Total DFT energy (no corrections) in eV for the cell shown: -97.03
SG: R-3 (148)
DOS(E_F) in states/eV/f.u.: 21.63
Calculated volume in Å³/cell: 426.1
Magnetic moment in μB per cell: 0.0

```
SmTh6Sc8
1.0
9.222 0.000 0.000
4.611 7.986 0.000
4.611 2.662 5.785
Sc Th Sm
8 6 1
Direct
0.048 0.381 0.703
0.227 0.227 0.318
0.131 0.952 0.297
0.381 0.869 0.703
0.773 0.773 0.682
0.952 0.619 0.297
0.869 0.048 0.703
0.619 0.131 0.297
0.385 0.565 0.229
0.615 0.435 0.771
0.565 0.821 0.229
0.435 0.179 0.771
0.821 0.385 0.229
0.179 0.615 0.771
0.000 0.000 0.000
```

***

[6]
VASP calculation (PBE) on HfInTcRu2 after structural relaxation.

Computed properties:
E_form in eV per formula unit: 6.9
Total DFT energy (no corrections) in eV for the cell shown: -34.71
SG: P4/mmm (123)
DOS(E_F) in states/eV/f.u.: 3.79
Calculated volume in Å³/cell: 110.2
Magnetic moment in μB per cell: 3.9

```
HfInTcRu2
1.0
-4.413 1.779 0.466
-1.059 -1.454 -4.473
-1.510 -4.197 1.722
In Ru Tc Hf
1 2 1 1
Direct
0.500 0.500 0.500
0.500 0.000 0.000
0.000 0.000 0.500
0.000 0.500 0.000
0.000 0.000 0.000
```

***

[7]
VASP calculation (PBE) on LiCaZr2 after structural relaxation.

Computed properties:
E_form in eV per formula unit: 1.5
Total DFT energy (no corrections) in eV for the cell shown: -19.47
SG: I4/mmm (139)
DOS(E_F) in states/eV/f.u.: 5.20
Calculated volume in Å³/cell: 99.6
Polymorph energy (0 for the lowest one) in meV/atom: 214.6
Magnetic moment in μB per cell: 0.0

```
LiCaZr2
1.0
-2.476 -3.651 -4.612
3.349 -2.520 -4.813
0.090 0.664 6.347
Ca Li Zr
1 1 2
Direct
0.250 0.750 0.500
0.750 0.250 0.500
0.000 0.000 0.000
0.500 0.500 0.000
```

***

[8]
VASP calculation (PBE) on LiBiP2Cl after structural relaxation.

Computed properties:
Total DFT energy (no corrections) in eV for the cell shown: -16.84
Formation energy without anion corrections in meV per atom: 324
SG: P4/mmm (123)
DOS(E_F) in states/eV/f.u.: 3.77
Calculated volume in Å³/cell: 99.2
Polymorph energy (0 for the lowest one) in meV/atom: 0.0
Magnetic moment in μB per cell: 0.0

```
LiBiP2Cl
1.0
4.653 0.000 0.000
0.000 4.653 0.000
0.000 0.000 4.581
Li P Bi Cl
1 2 1 1
Direct
0.000 0.000 0.000
0.500 0.000 0.000
0.000 0.500 0.000
0.500 0.500 0.500
0.000 0.000 0.500
```

***

[9]
VASP calculation (PBE) on Na4PuPd3O8 after structural relaxation.

Computed properties:
Total DFT energy (no corrections) in eV for the cell shown: -97.53
Formation energy without anion corrections in meV per atom: -1417
SG: C2/m (12)
DOS(E_F) in states/eV/f.u.: 6.62
Calculated volume in Å³/cell: 216.4
Magnetic moment in μB per cell: 2.0

```
Na4PuPd3O8
1.0
-5.993 -0.034 0.166
0.086 -6.111 1.842
3.091 4.920 4.343
Na O Pd Pu
4 8 3 1
Direct
0.000 0.000 0.000
0.500 0.000 0.000
0.000 0.000 0.500
0.500 0.000 0.500
0.712 0.247 0.927
0.785 0.753 0.073
0.784 0.740 0.568
0.798 0.341 0.597
0.216 0.260 0.432
0.288 0.753 0.073
0.202 0.659 0.403
0.215 0.247 0.927
0.500 0.500 0.500
0.000 0.500 0.500
0.500 0.500 0.000
0.000 0.500 0.000
```

***

[10]
VASP calculation (PBE) on KZrAl2 after structural relaxation.

Computed properties:
E_form in eV per formula unit: 0.2
Total DFT energy (no corrections) in eV for the cell shown: -16.89
SG: P4/mmm (123)
DOS(E_F) in states/eV/f.u.: 2.87
Calculated volume in Å³/cell: 96.9
Polymorph energy (0 for the lowest one) in meV/atom: 63.8
Magnetic moment in μB per cell: 0.7

```
KZrAl2
1.0
3.188 -0.001 0.000
0.001 3.188 0.000
0.000 0.000 9.531
K Zr Al
1 1 2
Direct
0.500 0.500 0.250
0.500 0.500 0.750
0.000 0.000 0.547
0.000 0.000 0.953
```

***

[11]
VASP calculation (PBE) on Zr2Ir3Rh3 after structural relaxation.

Computed properties:
E_form in eV per formula unit: -5.5
Total DFT energy (no corrections) in eV for the cell shown: -71.27
SG: Pmmm (47)
DOS(E_F) in states/eV/f.u.: 8.47
Calculated volume in Å³/cell: 125.8
Magnetic moment in μB per cell: 0.0

```
Zr2Ir3Rh3
1.0
3.972 0.000 0.000
0.000 3.974 0.000
0.000 0.000 7.968
Ir Rh Zr
3 3 2
Direct
0.000 0.500 0.000
0.500 0.000 0.500
0.000 0.500 0.500
0.500 0.000 0.000
0.500 0.500 0.250
0.500 0.500 0.750
0.000 0.000 0.751
0.000 0.000 0.249
```

***

[12]
VASP calculation (PBE) on ZnPd2Pt2 after structural relaxation.

Computed properties:
E_form in eV per formula unit: 0.8
Total DFT energy (no corrections) in eV for the cell shown: -22.98
SG: I4/mmm (139)
DOS(E_F) in states/eV/f.u.: 6.66
Calculated volume in Å³/cell: 88.3
Polymorph energy (0 for the lowest one) in meV/atom: 402.5
Magnetic moment in μB per cell: 0.0

```
ZnPd2Pt2
1.0
-1.246 3.109 -1.332
-3.254 -0.714 1.378
-0.506 4.364 5.781
Pt Pd Zn
2 2 1
Direct
0.750 0.250 0.500
0.250 0.750 0.500
0.405 0.405 0.191
0.595 0.595 0.809
0.000 0.000 0.000
```

***

[13]
VASP calculation (PBE) on ZrScHg2 after structural relaxation.

Computed properties:
E_form in eV per formula unit: -0.6
Total DFT energy (no corrections) in eV for the cell shown: -16.06
SG: I-4m2 (119)
DOS(E_F) in states/eV/f.u.: 5.01
Calculated volume in Å³/cell: 87.9
Polymorph energy (0 for the lowest one) in meV/atom: 138.1
Magnetic moment in μB per cell: 0.0

```
ZrScHg2
1.0
5.736 0.002 0.000
2.599 5.113 0.000
-4.167 -2.557 2.998
Zr Hg Sc
1 2 1
Direct
0.750 0.250 0.500
0.000 0.000 0.000
0.250 0.750 0.500
0.500 0.500 0.000
```

***

[14]
VASP calculation (PBE) on Ba2SrBiIr after structural relaxation.

Computed properties:
E_form in eV per formula unit: -2.1
Total DFT energy (no corrections) in eV for the cell shown: -20.32
SG: P4/mmm (123)
DOS(E_F) in states/eV/f.u.: 2.00
Calculated volume in Å³/cell: 204.9
Magnetic moment in μB per cell: 0.0

```
Ba2SrBiIr
1.0
-5.661 1.263 -1.369
-0.173 -4.718 -3.637
-1.795 -3.306 4.374
Bi Sr Ba Ir
1 1 2 1
Direct
0.500 0.500 0.500
0.000 0.000 0.500
0.000 0.500 0.000
0.500 0.000 0.000
0.000 0.000 0.000
```

***

[15]
VASP calculation (PBE) on Sm3Sn3Pb after structural relaxation.

Computed properties:
E_form in eV per formula unit: -3.2
Total DFT energy (no corrections) in eV for the cell shown: -66.11
SG: P6_3/m (176)
DOS(E_F) in states/eV/f.u.: 5.60
Calculated volume in Å³/cell: 398.3
Magnetic moment in μB per cell: 0.0

```
Sm3Sn3Pb
1.0
5.470 0.000 0.000
0.000 9.170 0.000
0.000 -4.585 7.941
Sm Sn Pb
6 6 2
Direct
0.250 0.091 0.655
0.250 0.564 0.909
0.750 0.909 0.345
0.250 0.345 0.436
0.750 0.655 0.564
0.750 0.436 0.091
0.750 0.182 0.229
0.750 0.771 0.953
0.250 0.953 0.182
0.250 0.229 0.047
0.750 0.047 0.818
0.250 0.818 0.771
0.250 0.667 0.333
0.750 0.333 0.667
```

***

[16]
VASP calculation (PBE) on Nb3Zn2C after structural relaxation.

Computed properties:
E_form in eV per formula unit: -1.7
Total DFT energy (no corrections) in eV for the cell shown: -174.81
SG: P4_132 (213)
DOS(E_F) in states/eV/f.u.: 4.01
Calculated volume in Å³/cell: 356.8
Magnetic moment in μB per cell: 0.0

```
Nb3Zn2C
1.0
-4.647 -4.616 2.722
5.349 -3.789 2.708
-0.308 3.827 5.964
Nb Zn C
12 8 4
Direct
0.208 0.458 0.125
0.708 0.042 0.875
0.042 0.875 0.708
0.292 0.542 0.625
0.625 0.292 0.542
0.958 0.375 0.792
0.458 0.125 0.208
0.875 0.708 0.042
0.375 0.792 0.958
0.542 0.625 0.292
0.792 0.958 0.375
0.125 0.208 0.458
0.679 0.679 0.679
0.821 0.321 0.179
0.929 0.571 0.429
0.071 0.071 0.071
0.321 0.179 0.821
0.429 0.929 0.571
0.571 0.429 0.929
0.179 0.821 0.321
0.875 0.125 0.625
0.125 0.625 0.875
0.625 0.875 0.125
0.375 0.375 0.375
```

***

[17]
VASP calculation (PBE) on BaZrRe2 after structural relaxation.

Computed properties:
E_form in eV per formula unit: 3.3
Total DFT energy (no corrections) in eV for the cell shown: -32.11
SG: Cmmm (65)
DOS(E_F) in states/eV/f.u.: 3.88
Calculated volume in Å³/cell: 83.2
Polymorph energy (0 for the lowest one) in meV/atom: 292.6
Magnetic moment in μB per cell: 0.0

```
BaZrRe2
1.0
-0.986 -0.140 2.812
-1.053 -2.269 -1.627
7.981 -5.514 2.525
Re Zr Ba
2 1 1
Direct
0.000 0.000 0.034
0.000 0.000 0.466
0.500 0.500 0.250
0.500 0.500 0.750
```

***

[18]
VASP calculation (PBE) on TaTiNiPt after structural relaxation.

Computed properties:
E_form in eV per formula unit: -2.1
Total DFT energy (no corrections) in eV for the cell shown: -33.70
SG: P4mm (99)
DOS(E_F) in states/eV/f.u.: 2.13
Calculated volume in Å³/cell: 61.2
Magnetic moment in μB per cell: 0.0

```
TaTiNiPt
1.0
3.214 0.000 0.000
0.000 3.214 0.000
0.000 0.000 5.925
Ti Pt Ni Ta
1 1 1 1
Direct
0.000 0.000 0.837
0.500 0.500 0.608
0.000 0.000 0.345
0.500 0.500 0.137
```